A plane-wave DFT calculation with PBE-GGA was carried out for crystalline K3CdAu4 at its relaxed geometry.

Calculated values
Total magnetic moment ... 0.00 μB/f.u.
Energy relative to the elements ... -180 kJ/mol of formula units

Cell lengths 9.9552, 8.1437, 8.5132 Å; angles 90.00, 125.17, 90.00 degrees
Space group C2 (No. 5)
One atom of each set of equivalent atoms:
K 0.0000 0.0000 0.0000 (multiplicity 2)
K 0.2367 0.4996 0.2844 (multiplicity 4)
Cd 0.0000 0.5005 0.5000 (multiplicity 2)
Au 0.1316 0.3249 0.8351 (multiplicity 4)
Au 0.1318 0.6753 0.8356 (multiplicity 4)



A plane-wave DFT calculation with PBE-GGA was carried out for crystalline K3Cd3Au at its relaxed geometry.

Calculated values
Total magnetic moment ... 0.00 μB/f.u.
Energy relative to the elements ... -103 kJ/mol of formula units

Cell lengths 12.4245, 5.0775, 17.1092 Å; angles 90.00, 110.38, 90.00 degrees
Space group C2/m (No. 12)
One atom of each set of equivalent atoms:
K 0.0271 0.0000 0.3894 (multiplicity 4)
K 0.1101 0.0000 0.9196 (multiplicity 4)
K 0.2360 0.5000 0.7570 (multiplicity 4)
Cd 0.0614 0.5000 0.2409 (multiplicity 4)
Cd 0.0979 0.5000 0.0800 (multiplicity 4)
Cd 0.1599 0.5000 0.5354 (multiplicity 4)
Au 0.2444 0.5000 0.3943 (multiplicity 4)



A plane-wave DFT calculation with PBE-GGA was carried out for crystalline KCd3Au at its relaxed geometry.

Calculated values
E above lowest polymorph ... 0.00 eV/f.u.
Total magnetic moment ... 0.00 μB/f.u.
Energy relative to the elements ... -85 kJ/mol of formula units

Cell lengths 6.6967, 12.6429, 6.5956 Å; angles 90.00, 90.00, 90.00 degrees
Space group Cmcm (No. 63)
One atom of each set of equivalent atoms:
K 0.0000 0.2466 0.2500 (multiplicity 4)
Cd 0.0000 0.1405 0.7500 (multiplicity 4)
Cd 0.2376 0.5000 0.0000 (multiplicity 8)
Au 0.0000 0.3601 0.7500 (multiplicity 4)



A plane-wave DFT calculation with PBE-GGA was carried out for crystalline KCd12Au7 at its relaxed geometry.

Calculated values
Total magnetic moment ... 0.00 μB/f.u.
Energy relative to the elements ... -260 kJ/mol of formula units

Cell lengths 14.3686, 14.3686, 7.6516 Å; angles 90.00, 90.00, 120.00 degrees
Space group R-3 (No. 148, hexagonal axes)
One atom of each set of equivalent atoms:
K 0.0000 0.0000 0.0000 (multiplicity 3)
Cd 0.0011 0.2639 0.0028 (multiplicity 18)
Cd 0.1073 0.2159 0.3465 (multiplicity 18)
Au 0.0000 0.0000 0.5000 (multiplicity 3)
Au 0.1031 0.5506 0.3897 (multiplicity 18)



A plane-wave DFT calculation with PBE-GGA was carried out for crystalline K16Cd12Au at its relaxed geometry.

Calculated values
Total magnetic moment ... 0.00 μB/f.u.
Energy relative to the elements ... -140 kJ/mol of formula units

Cell lengths 13.2100, 17.3426, 11.5869 Å; angles 90.00, 118.05, 90.00 degrees
Space group Cm (No. 8)
One atom of each set of equivalent atoms:
K 0.0000 0.0000 0.0000 (multiplicity 2)
K 0.0131 0.2986 0.7129 (multiplicity 4)
K 0.0165 0.3832 0.3714 (multiplicity 4)
K 0.1623 0.1708 0.5737 (multiplicity 4)
K 0.1950 0.1905 0.0102 (multiplicity 4)
K 0.2041 0.5000 0.7061 (multiplicity 2)
K 0.2845 0.3120 0.3422 (multiplicity 4)
K 0.3591 0.0000 0.6229 (multiplicity 2)
K 0.4509 0.5000 0.3342 (multiplicity 2)
K 0.4753 0.1116 0.0085 (multiplicity 4)
Cd 0.1753 0.0000 0.8223 (multiplicity 2)
Cd 0.2099 0.0899 0.3012 (multiplicity 4)
Cd 0.2572 0.4097 0.0117 (multiplicity 4)
Cd 0.2955 0.0000 0.1262 (multiplicity 2)
Cd 0.3586 0.3151 0.8558 (multiplicity 4)
Cd 0.4407 0.4078 0.6807 (multiplicity 4)
Cd 0.4905 0.3151 0.1712 (multiplicity 4)
Au 0.2643 0.5000 0.4599 (multiplicity 2)



A plane-wave DFT calculation with PBE-GGA was carried out for crystalline K2CdAu3 at its relaxed geometry.

Calculated values
E above lowest polymorph ... 0.00 eV/f.u.
Total magnetic moment ... 0.00 μB/f.u.
Energy relative to the elements ... -153 kJ/mol of formula units

Cell lengths 5.5694, 6.9204, 8.9458 Å; angles 90.00, 90.00, 90.00 degrees
Space group Pmma (No. 51)
One atom of each set of equivalent atoms:
K 0.2500 0.0000 0.1298 (multiplicity 2)
K 0.2500 0.5000 0.3651 (multiplicity 2)
Cd 0.2500 0.5000 0.9295 (multiplicity 2)
Au 0.0000 0.0000 0.5000 (multiplicity 2)
Au 0.2500 0.2090 0.7240 (multiplicity 4)



A plane-wave DFT calculation with PBE-GGA was carried out for crystalline K2LiCd3Au4 at its relaxed geometry.

Calculated values
Total magnetic moment ... 0.00 μB/f.u.
Energy relative to the elements ... -255 kJ/mol of formula units

Cell lengths 4.8442, 4.8442, 11.1912 Å; angles 90.00, 90.00, 90.00 degrees
Space group P-4m2 (No. 115)
One atom of each set of equivalent atoms:
K 0.0000 0.5000 0.2422 (multiplicity 2)
Li 0.0000 0.0000 0.5000 (multiplicity 1)
Cd 0.0000 0.5000 0.8714 (multiplicity 2)
Cd 0.5000 0.5000 0.5000 (multiplicity 1)
Au 0.0000 0.0000 0.0000 (multiplicity 1)
Au 0.0000 0.5000 0.6239 (multiplicity 2)
Au 0.5000 0.5000 0.0000 (multiplicity 1)



A plane-wave DFT calculation with PBE-GGA was carried out for crystalline K2LiCd4Au3 at its relaxed geometry.

Calculated values
Total magnetic moment ... 0.00 μB/f.u.
Energy relative to the elements ... -223 kJ/mol of formula units

Cell lengths 4.6993, 4.6993, 12.0062 Å; angles 90.00, 90.00, 90.00 degrees
Space group P-4m2 (No. 115)
One atom of each set of equivalent atoms:
K 0.0000 0.5000 0.2437 (multiplicity 2)
Li 0.0000 0.0000 0.5000 (multiplicity 1)
Cd 0.0000 0.0000 0.0000 (multiplicity 1)
Cd 0.0000 0.5000 0.6326 (multiplicity 2)
Cd 0.5000 0.5000 0.0000 (multiplicity 1)
Au 0.0000 0.5000 0.8638 (multiplicity 2)
Au 0.5000 0.5000 0.5000 (multiplicity 1)



A plane-wave DFT calculation with PBE-GGA was carried out for crystalline KLiCdAu at its relaxed geometry.

Calculated values
Total magnetic moment ... 0.00 μB/f.u.
Energy relative to the elements ... -107 kJ/mol of formula units

Cell lengths 4.7263, 4.7263, 18.1618 Å; angles 90.00, 90.00, 120.00 degrees
Space group R3m (No. 160, hexagonal axes)
One atom of each set of equivalent atoms:
K 0.0000 0.0000 0.0000 (multiplicity 3)
Li 0.0000 0.0000 0.5189 (multiplicity 3)
Cd 0.0000 0.0000 0.8060 (multiplicity 3)
Au 0.0000 0.0000 0.1905 (multiplicity 3)



A plane-wave DFT calculation with PBE-GGA was carried out for crystalline KLi2CdAu at its relaxed geometry.

Calculated values
Total magnetic moment ... 0.00 μB/f.u.
Energy relative to the elements ... -90 kJ/mol of formula units

Cell lengths 5.1516, 5.1516, 5.3807 Å; angles 90.00, 90.00, 90.00 degrees
Space group P4/mmm (No. 123)
One atom of each set of equivalent atoms:
K 0.0000 0.0000 0.0000 (multiplicity 1)
Li 0.0000 0.5000 0.5000 (multiplicity 2)
Cd 0.5000 0.5000 0.0000 (multiplicity 1)
Au 0.5000 0.5000 0.5000 (multiplicity 1)



A plane-wave DFT calculation with PBE-GGA was carried out for crystalline KLiCdAu2 at its relaxed geometry.

Calculated values
Total magnetic moment ... 0.00 μB/f.u.
Energy relative to the elements ... -169 kJ/mol of formula units

Cell lengths 4.4965, 4.4965, 12.3241 Å; angles 90.00, 90.00, 90.00 degrees
Space group I-4m2 (No. 119)
One atom of each set of equivalent atoms:
K 0.0000 0.0000 0.0000 (multiplicity 2)
Li 0.0000 0.5000 0.7500 (multiplicity 2)
Cd 0.0000 0.5000 0.2500 (multiplicity 2)
Au 0.0000 0.0000 0.3876 (multiplicity 4)



A plane-wave DFT calculation with PBE-GGA was carried out for crystalline KMgCd2Au at its relaxed geometry.

Calculated values
Total magnetic moment ... 0.00 μB/f.u.
Energy relative to the elements ... -66 kJ/mol of formula units

Cell lengths 5.3978, 5.3978, 5.2104 Å; angles 90.00, 90.00, 90.00 degrees
Space group P4/mmm (No. 123)
One atom of each set of equivalent atoms:
K 0.0000 0.0000 0.0000 (multiplicity 1)
Mg 0.5000 0.5000 0.0000 (multiplicity 1)
Cd 0.0000 0.5000 0.5000 (multiplicity 2)
Au 0.5000 0.5000 0.5000 (multiplicity 1)